Entry 1:
{"formula": "ErTmFe2", "functional": "PBE", "state": "optimized geometry", "total_magnetization_mub_per_fu": 0.00, "formation_energy_mev_per_atom": -60, "crystal_system": "orthorhombic", "spacegroup": "Pmc2_1, No. 26", "lattice_angstrom": [[3.7930, 0.0000, 0.0000], [0.0000, 5.4087, 0.0000], [0.0000, 0.0000, 7.6476]], "species": ["Er", "Er", "Fe", "Fe", "Fe", "Fe", "Tm", "Tm"], "frac_coords": [[0.5000, 0.1448, 0.1771], [0.5000, 0.8552, 0.6771], [0.5000, 0.6703, 0.0261], [0.0000, 0.1736, 0.4743], [0.5000, 0.3297, 0.5261], [0.0000, 0.8264, 0.9743], [0.0000, 0.6449, 0.3224], [0.0000, 0.3551, 0.8224]]}



Entry 2:
{"formula": "SmTlZn", "functional": "PBE", "state": "optimized geometry", "total_energy_ev_per_cell": -17.9, "total_magnetization_mub_per_fu": 0.00, "crystal_system": "hexagonal", "spacegroup": "P6_3/mmc, No. 194", "lattice_angstrom": [[-3.4873, -3.6095, -1.4255], [1.0136, 0.7948, 5.0560], [-4.6100, 4.3596, 0.2389]], "species": ["Sm", "Sm", "Tl", "Tl", "Zn", "Zn"], "frac_coords": [[0.6667, 0.3333, 0.2500], [0.3333, 0.6667, 0.7500], [0.3333, 0.6667, 0.2500], [0.6667, 0.3333, 0.7500], [0.0000, 0.0000, 0.0000], [0.0000, 0.0000, 0.5000]]}



Entry 3:
{"formula": "Li4Sn2PtAu", "functional": "PBE", "state": "optimized geometry", "total_energy_ev_per_cell": -29.7, "total_magnetization_mub_per_fu": 0.00, "crystal_system": "tetragonal", "spacegroup": "P-4m2, No. 115", "lattice_angstrom": [[-2.7490, -3.2962, 1.4600], [3.5988, -2.6172, 0.8675], [0.3002, 2.3851, 5.9501]], "species": ["Au", "Li", "Li", "Li", "Li", "Pt", "Sn", "Sn"], "frac_coords": [[0.5000, 0.5000, 0.0000], [0.0000, 0.0000, 0.0000], [0.0000, 0.5000, 0.2526], [0.5000, 0.5000, 0.5000], [0.5000, 0.0000, 0.7474], [0.0000, 0.0000, 0.5000], [0.5000, 0.0000, 0.2622], [0.0000, 0.5000, 0.7378]]}